MnCrRh4 PBE optimized geometry; formation energy = 0.035 eV per atom; distance to the lowest polymorph of the same formula = 0.0000 eV per atom; DFT total energy = -7.9985 eV/atom; M_tot = 1.64 Bohr magnetons per cell
1.0
2.703 -4.423 0.000
2.703 4.423 0.000
-2.703 0.000 7.158
Mn Cr Rh
2 2 8
Direct
0.125 0.875 0.750
0.875 0.125 0.250
0.375 0.625 0.250
0.625 0.375 0.750
0.031 0.779 0.058
0.221 0.969 0.442
0.278 0.526 0.558
0.474 0.722 0.942
0.526 0.278 0.058
0.722 0.474 0.442
0.779 0.031 0.558
0.969 0.221 0.942